# 1
A plane-wave DFT calculation with PBE-GGA was carried out for a geometry-optimized La2MnAl12Ni3 structure.

Space-group type = R-3m, No. 166
DFT formation energy = -139 meV/atom

a b c (Å): 10.145 10.145 10.145
angles (deg): 36.96 36.96 36.96
Fractional coordinates of all 18 atoms:
1 La 0.143 0.143 0.143
2 La 0.857 0.857 0.857
3 Mn 0.500 0.500 0.500
4 Al 0.097 0.097 0.678
5 Al 0.097 0.678 0.097
6 Al 0.139 0.577 0.577
7 Al 0.322 0.903 0.903
8 Al 0.423 0.423 0.861
9 Al 0.423 0.861 0.423
10 Al 0.577 0.139 0.577
11 Al 0.577 0.577 0.139
12 Al 0.678 0.097 0.097
13 Al 0.861 0.423 0.423
14 Al 0.903 0.322 0.903
15 Al 0.903 0.903 0.322
16 Ni 0.000 0.500 0.500
17 Ni 0.500 0.000 0.500
18 Ni 0.500 0.500 0.000

***

# 2
A plane-wave DFT calculation with PBE-GGA was carried out for a geometry-optimized LaPaCuO5 structure.

Space-group type = C2/c, No. 15
Formation energy from raw total energies = -2096 kJ/mol of formula units

a b c (Å): 5.978 5.978 7.981
angles (deg): 101.59 101.59 110.85
Fractional coordinates of all 16 atoms:
1 La 0.163 0.837 0.750
2 La 0.837 0.163 0.250
3 Pa 0.500 0.500 0.000
4 Pa 0.500 0.500 0.500
5 Cu 0.174 0.826 0.250
6 Cu 0.826 0.174 0.750
7 O 0.130 0.202 0.922
8 O 0.195 0.595 0.390
9 O 0.202 0.130 0.422
10 O 0.405 0.595 0.750
11 O 0.405 0.805 0.110
12 O 0.595 0.195 0.890
13 O 0.595 0.405 0.250
14 O 0.798 0.870 0.578
15 O 0.805 0.405 0.610
16 O 0.870 0.798 0.078

***

# 3
A plane-wave DFT calculation with PBE-GGA was carried out for a geometry-optimized TmTh2Tl4 structure.

Space-group type = P2_1/m, No. 11
DFT formation energy = -80 meV/atom

a b c (Å): 6.120 6.271 10.902
angles (deg): 90.00 105.76 90.00
Fractional coordinates of all 14 atoms:
1 Tm 0.206 0.250 0.181
2 Tm 0.794 0.750 0.819
3 Th 0.310 0.750 0.426
4 Th 0.384 0.750 0.014
5 Th 0.616 0.250 0.986
6 Th 0.690 0.250 0.574
7 Tl 0.047 0.250 0.875
8 Tl 0.131 0.250 0.448
9 Tl 0.327 0.504 0.717
10 Tl 0.327 0.996 0.717
11 Tl 0.673 0.004 0.283
12 Tl 0.673 0.496 0.283
13 Tl 0.869 0.750 0.552
14 Tl 0.953 0.750 0.125

***

# 4
A plane-wave DFT calculation with PBE-GGA was carried out for a geometry-optimized Tb5Tl3Ga structure.

Space-group type = P6_3/mcm, No. 193
DFT formation energy = -402 meV/atom

a b c (Å): 9.278 9.278 6.665
angles (deg): 90.00 90.00 120.00
Fractional coordinates of all 18 atoms:
1 Tb 0.000 0.269 0.250
2 Tb 0.000 0.731 0.750
3 Tb 0.269 0.000 0.250
4 Tb 0.269 0.269 0.750
5 Tb 0.333 0.667 0.000
6 Tb 0.333 0.667 0.500
7 Tb 0.667 0.333 0.000
8 Tb 0.667 0.333 0.500
9 Tb 0.731 0.000 0.750
10 Tb 0.731 0.731 0.250
11 Tl 0.000 0.383 0.750
12 Tl 0.000 0.617 0.250
13 Tl 0.383 0.000 0.750
14 Tl 0.383 0.383 0.250
15 Tl 0.617 0.000 0.250
16 Tl 0.617 0.617 0.750
17 Ga 0.000 0.000 0.000
18 Ga 0.000 0.000 0.500

***

# 5
A plane-wave DFT calculation with PBE-GGA was carried out for a geometry-optimized Nd4SiTe2Se structure.

Space-group type = P2/m, No. 10
Formation energy from raw total energies = -1103 kJ/mol of formula units

a b c (Å): 7.516 4.343 7.746
angles (deg): 90.00 108.95 90.00
Fractional coordinates of all 8 atoms:
1 Nd 0.234 0.000 0.221
2 Nd 0.250 0.500 0.778
3 Nd 0.750 0.500 0.222
4 Nd 0.766 0.000 0.779
5 Si 0.000 0.500 0.000
6 Te 0.000 0.000 0.500
7 Te 0.500 0.500 0.500
8 Se 0.500 0.000 0.000

***

# 6
A plane-wave DFT calculation with PBE-GGA was carried out for a geometry-optimized PuScV structure.

Space-group type = I4mm, No. 107
Energy above the lowest structure with this stoichiometry = 0 meV/atom
DFT formation energy = 250 meV/atom

a b c (Å): 3.304 3.304 11.258
angles (deg): 90.00 90.00 90.00
Fractional coordinates of all 6 atoms:
1 Pu 0.000 0.000 0.000
2 Pu 0.500 0.500 0.500
3 Sc 0.000 0.000 0.295
4 Sc 0.500 0.500 0.795
5 V 0.000 0.000 0.639
6 V 0.500 0.500 0.139

***

# 7
A plane-wave DFT calculation with PBE-GGA was carried out for a geometry-optimized Fe3Si structure.

Space-group type = R-3m, No. 166
Formation energy from raw total energies = -7 kJ/mol of formula units

a b c (Å): 2.581 2.581 23.251
angles (deg): 90.00 90.00 120.00
Fractional coordinates of all 12 atoms:
1 Fe 0.000 0.000 0.000
2 Fe 0.000 0.000 0.247
3 Fe 0.000 0.000 0.753
4 Fe 0.333 0.667 0.420
5 Fe 0.333 0.667 0.667
6 Fe 0.333 0.667 0.914
7 Fe 0.667 0.333 0.086
8 Fe 0.667 0.333 0.333
9 Fe 0.667 0.333 0.580
10 Si 0.000 0.000 0.500
11 Si 0.333 0.667 0.167
12 Si 0.667 0.333 0.833

***

# 8
A plane-wave DFT calculation with PBE-GGA was carried out for a geometry-optimized PuTaFeOs structure.

Space-group type = F-43m, No. 216
DFT formation energy = 43 meV/atom

a b c (Å): 6.487 6.487 6.487
angles (deg): 90.00 90.00 90.00
Fractional coordinates of all 16 atoms:
1 Pu 0.000 0.000 0.000
2 Pu 0.000 0.500 0.500
3 Pu 0.500 0.000 0.500
4 Pu 0.500 0.500 0.000
5 Ta 0.000 0.000 0.500
6 Ta 0.000 0.500 0.000
7 Ta 0.500 0.000 0.000
8 Ta 0.500 0.500 0.500
9 Fe 0.250 0.250 0.250
10 Fe 0.250 0.750 0.750
11 Fe 0.750 0.250 0.750
12 Fe 0.750 0.750 0.250
13 Os 0.250 0.250 0.750
14 Os 0.250 0.750 0.250
15 Os 0.750 0.250 0.250
16 Os 0.750 0.750 0.750

***

# 9
A plane-wave DFT calculation with PBE-GGA was carried out for a geometry-optimized InCo2Pb structure.

Space-group type = R3m, No. 160
Energy above the lowest structure with this stoichiometry = 12 meV/atom
DFT formation energy = 293 meV/atom

a b c (Å): 3.886 3.886 18.499
angles (deg): 90.00 90.00 120.00
Fractional coordinates of all 12 atoms:
1 In 0.000 0.000 0.000
2 In 0.333 0.667 0.667
3 In 0.667 0.333 0.333
4 Co 0.000 0.000 0.432
5 Co 0.000 0.000 0.751
6 Co 0.333 0.667 0.099
7 Co 0.333 0.667 0.418
8 Co 0.667 0.333 0.084
9 Co 0.667 0.333 0.765
10 Pb 0.000 0.000 0.196
11 Pb 0.333 0.667 0.863
12 Pb 0.667 0.333 0.529

***

# 10
A plane-wave DFT calculation with PBE-GGA was carried out for a geometry-optimized SrMnIr2 structure.

Space-group type = R-3m, No. 166
Energy above the lowest structure with this stoichiometry = 0 meV/atom
DFT formation energy = -74 meV/atom

a b c (Å): 4.402 4.402 16.319
angles (deg): 90.00 90.00 120.00
Fractional coordinates of all 12 atoms:
1 Sr 0.000 0.000 0.000
2 Sr 0.333 0.667 0.667
3 Sr 0.667 0.333 0.333
4 Mn 0.000 0.000 0.500
5 Mn 0.333 0.667 0.167
6 Mn 0.667 0.333 0.833
7 Ir 0.000 0.000 0.184
8 Ir 0.000 0.000 0.816
9 Ir 0.333 0.667 0.482
10 Ir 0.333 0.667 0.851
11 Ir 0.667 0.333 0.149
12 Ir 0.667 0.333 0.518

***

# 11
A plane-wave DFT calculation with PBE-GGA was carried out for a geometry-optimized NaTaGa2W structure.

Space-group type = P4/mmm, No. 123
DFT formation energy = 1791 meV/atom

a b c (Å): 4.816 4.816 4.966
angles (deg): 90.00 90.00 90.00
Fractional coordinates of all 5 atoms:
1 Na 0.000 0.000 0.000
2 Ta 0.500 0.500 0.000
3 Ga 0.000 0.500 0.500
4 Ga 0.500 0.000 0.500
5 W 0.000 0.000 0.500

***

# 12
A plane-wave DFT calculation with PBE-GGA was carried out for a geometry-optimized SmPu2FeN4 structure.

Space-group type = Cmcm, No. 63
Formation energy from raw total energies = -817 kJ/mol of formula units

a b c (Å): 5.927 5.927 11.394
angles (deg): 90.00 90.00 146.48
Fractional coordinates of all 16 atoms:
1 Sm 0.103 0.897 0.750
2 Sm 0.897 0.103 0.250
3 Pu 0.369 0.631 0.556
4 Pu 0.369 0.631 0.944
5 Pu 0.631 0.369 0.056
6 Pu 0.631 0.369 0.444
7 Fe 0.160 0.840 0.250
8 Fe 0.840 0.160 0.750
9 N 0.000 0.000 0.000
10 N 0.000 0.000 0.500
11 N 0.267 0.733 0.115
12 N 0.267 0.733 0.385
13 N 0.446 0.554 0.750
14 N 0.554 0.446 0.250
15 N 0.733 0.267 0.615
16 N 0.733 0.267 0.885